Entry 1:
A relaxed CaTe2PbN crystal, computed with PBE. Values from VASP.

Geometry as Quantum ESPRESSO input:
```
&SYSTEM
  ibrav = 0, nat = 5, ntyp = 4
/
ATOMIC_SPECIES
Te 127.60 Te.upf
Pb 207.20 Pb.upf
Ca 40.08 Ca.upf
N 14.01 N.upf
ATOMIC_POSITIONS angstrom
Te -0.221 3.185 -0.294
Te 0.811 0.341 3.083
Pb 0.000 0.000 0.000
Ca -2.938 -0.131 0.788
N -2.347 3.394 3.577
CELL_PARAMETERS angstrom
-0.443 6.370 -0.588
-5.875 -0.263 1.575
1.623 0.682 6.166
```

Output
The energy relative to the elements, uncorrected comes out at 1.17 eV per atom. The volume is 50.07 A^3/atom.

=====

Entry 2:
A relaxed Tb9PrY2 crystal, computed with PBE. Values from VASP.

Geometry as Quantum ESPRESSO input:
```
&SYSTEM
  ibrav = 0, nat = 12, ntyp = 3
/
ATOMIC_SPECIES
Y 88.91 Y.upf
Pr 140.91 Pr.upf
Tb 158.93 Tb.upf
ATOMIC_POSITIONS angstrom
Y 5.501 -0.452 3.502
Y 3.463 5.376 1.353
Pr 0.000 0.000 0.000
Tb 5.114 5.387 4.474
Tb 3.769 -3.139 2.825
Tb 0.917 3.082 2.201
Tb 6.197 2.288 5.617
Tb 5.530 -2.957 5.989
Tb 2.001 -0.017 3.344
Tb 1.584 8.327 1.829
Tb 4.482 2.462 2.427
Tb 0.713 5.601 -0.398
CELL_PARAMETERS angstrom
-1.850 0.446 2.963
7.538 -6.279 5.650
1.426 11.203 -0.795
```

Output
For the formation energy, the calculation gives 0.04 eV/atom. The volume is 32.57 A^3/atom.

=====

DFT total energy in eV/atom, matching the order above: -2.90 -4.91
Polymorph energy (0 for the lowest one) in eV per formula unit, matching the order above: 4.25 0.24